# 1
Ac2TbPm3Te6 | PBE | optimized geometry

Cell: 10.1303 10.1303 9.1582 Å, 102.61 102.61 25.73°
Sites, in units of the cell vectors:
Ac: 0.1654 0.1654 0.3328
Ac: 0.8346 0.8346 0.6672
Tb: 0.5000 0.5000 0.0000
Pm: 0.1726 0.1726 0.8373
Pm: 0.5000 0.5000 0.5000
Pm: 0.8274 0.8274 0.1627
Te: 0.0067 0.0067 0.7591
Te: 0.3370 0.3370 0.4061
Te: 0.3383 0.3383 0.9302
Te: 0.6617 0.6617 0.0698
Te: 0.6630 0.6630 0.5939
Te: 0.9933 0.9933 0.2409

Summary:
DOS(E_F) in states/eV/f.u.: 6.8
E_form (uncorrected) in eV/atom: -1.405
E_tot in eV per atom: -5.234

---

# 2
Ac3TbPm3Te8 | PBE | optimized geometry

Cell: 9.2302 9.2302 9.2302 Å, 58.84 58.84 58.84°
Sites, in units of the cell vectors:
Ac: 0.0000 0.5000 0.5000
Ac: 0.5000 0.0000 0.5000
Ac: 0.5000 0.5000 0.0000
Tb: 0.5000 0.5000 0.5000
Pm: 0.0000 0.0000 0.5000
Pm: 0.0000 0.5000 0.0000
Pm: 0.5000 0.0000 0.0000
Te: 0.2434 0.7457 0.7457
Te: 0.2444 0.2444 0.2444
Te: 0.2543 0.2543 0.7566
Te: 0.2543 0.7566 0.2543
Te: 0.7457 0.2434 0.7457
Te: 0.7457 0.7457 0.2434
Te: 0.7556 0.7556 0.7556
Te: 0.7566 0.2543 0.2543

Summary:
DOS(E_F) in states/eV/f.u.: 7.7
E_form (uncorrected) in eV/atom: -1.470
E_tot in eV per atom: -5.226

---

# 3
AcTb2PmTl4 | PBE | optimized geometry

Cell: 9.6153 9.6153 9.6153 Å, 33.46 33.46 33.46°
Sites, in units of the cell vectors:
Ac: 0.0000 0.0000 0.0000
Tb: 0.2492 0.2492 0.2492
Tb: 0.7508 0.7508 0.7508
Pm: 0.5000 0.5000 0.5000
Tl: 0.1276 0.1276 0.1276
Tl: 0.3784 0.3784 0.3784
Tl: 0.6216 0.6216 0.6216
Tl: 0.8724 0.8724 0.8724

Summary:
DOS(E_F) in states/eV/f.u.: 7.3
E_tot in eV per atom: -3.785
Calculated formation energy in kJ per mole of atoms: -32.5

---

# 4
AcTbPmTl | PBE | optimized geometry

Cell: 5.6697 5.6697 5.6697 Å, 60.00 60.00 60.00°
Sites, in units of the cell vectors:
Ac: 0.0000 0.0000 0.0000
Tb: 0.7500 0.7500 0.7500
Pm: 0.2500 0.2500 0.2500
Tl: 0.5000 0.5000 0.5000

Summary:
DOS(E_F) in states/eV/f.u.: 7.6
E_tot in eV per atom: -3.947
Calculated formation energy in kJ per mole of atoms: 1.6

---

# 5
AcTb6Pm3Tm2 | PBE | optimized geometry

Cell: 6.2412 6.2412 11.9647 Å, 94.98 94.98 119.99°
Sites, in units of the cell vectors:
Ac: 0.0000 0.0000 0.0000
Tb: 0.0839 0.4206 0.2509
Tb: 0.2528 0.2528 0.7488
Tb: 0.4206 0.0839 0.2509
Tb: 0.5794 0.9161 0.7491
Tb: 0.7472 0.7472 0.2512
Tb: 0.9161 0.5794 0.7491
Pm: 0.1671 0.8329 0.5000
Pm: 0.5000 0.5000 0.5000
Pm: 0.8329 0.1671 0.5000
Tm: 0.3332 0.6668 0.0000
Tm: 0.6668 0.3332 0.0000

Summary:
DOS(E_F) in states/eV/f.u.: 15.2
E_tot in eV per atom: -4.562
Calculated formation energy in kJ per mole of atoms: 2.7

---

# 6
AcTb6Pm2Tm | PBE | optimized geometry

Cell: 8.9715 8.9715 9.6189 Å, 92.87 92.87 118.16°
Sites, in units of the cell vectors:
Ac: 0.0248 0.9752 0.7500
Ac: 0.9752 0.0248 0.2500
Tb: 0.0165 0.5621 0.6863
Tb: 0.1337 0.7475 0.0576
Tb: 0.2525 0.8663 0.4424
Tb: 0.2883 0.5042 0.8838
Tb: 0.4380 0.9835 0.8137
Tb: 0.4958 0.7117 0.6162
Tb: 0.5042 0.2883 0.3838
Tb: 0.5621 0.0165 0.1863
Tb: 0.7117 0.4958 0.1162
Tb: 0.7475 0.1337 0.5576
Tb: 0.8663 0.2525 0.9424
Tb: 0.9835 0.4380 0.3137
Pm: 0.2004 0.3166 0.5470
Pm: 0.3166 0.2004 0.0470
Pm: 0.6834 0.7996 0.9530
Pm: 0.7996 0.6834 0.4530
Tm: 0.4111 0.5889 0.2500
Tm: 0.5889 0.4111 0.7500

Summary:
DOS(E_F) in states/eV/f.u.: 14.3
E_tot in eV per atom: -4.461
Calculated formation energy in kJ per mole of atoms: 12.1